Entry 1:
First-principles (PBE) data for V2CdBr after structural relaxation, as listed in Alexandria.

Magnetic moment, μB per formula unit: 1.17
Raw total energy, eV/cell: -69.5
E_form (uncorrected), eV per atom: 0.860
E above lowest polymorph, meV per atom: 13
Crystal system: tetragonal

Cell lengths 4.3166, 4.3166, 17.9027 Å; angles 90.00, 90.00, 90.00 degrees
Last column: nearest neighbours and their distance in Å.
Fractional positions:
V1 0.1057 0.2500 0.1250  2 V 2.34, 2 Br 2.53
V2 0.2500 0.6057 0.3750  2 V 2.34, 2 Br 2.53
V3 0.2500 0.8943 0.8750  2 V 2.34, 2 Br 2.53
V4 0.3943 0.2500 0.6250  2 V 2.34, 2 Br 2.53
V5 0.6057 0.7500 0.6250  2 V 2.34, 2 Br 2.53
V6 0.7500 0.1057 0.8750  2 V 2.34, 2 Br 2.53
V7 0.7500 0.3943 0.3750  2 V 2.34, 2 Br 2.53
V8 0.8943 0.7500 0.1250  2 V 2.34, 2 Br 2.53
Cd1 0.0000 0.0000 0.5000  4 V 3.01, 4 Br 3.05
Cd2 0.0000 0.5000 0.7500  4 V 3.01, 4 Br 3.05
Cd3 0.5000 0.0000 0.2500  4 V 3.01, 4 Br 3.05
Cd4 0.5000 0.5000 0.0000  4 V 3.01, 4 Br 3.05
Br1 0.0000 0.0000 0.0000  4 V 2.53
Br2 0.0000 0.5000 0.2500  4 V 2.53
Br3 0.5000 0.0000 0.7500  4 V 2.53
Br4 0.5000 0.5000 0.5000  4 V 2.53



Entry 2:
First-principles (PBE) data for VCd2Br after structural relaxation, as listed in Alexandria.

Magnetic moment, μB per formula unit: 3.90
Raw total energy, eV/cell: -40.7
E_form (uncorrected), eV per atom: 0.610
E above lowest polymorph, meV per atom: 296
Crystal system: cubic

Cell lengths 7.3373, 7.3373, 7.3373 Å; angles 90.00, 90.00, 90.00 degrees
Last column: nearest neighbours and their distance in Å.
Fractional positions:
V1 0.0000 0.0000 0.0000  8 Cd 3.18
V2 0.0000 0.5000 0.5000  8 Cd 3.18
V3 0.5000 0.0000 0.5000  8 Cd 3.18
V4 0.5000 0.5000 0.0000  8 Cd 3.18
Cd1 0.2500 0.2500 0.2500  4 Br 3.18, 4 V 3.18
Cd2 0.2500 0.2500 0.7500  4 Br 3.18, 4 V 3.18
Cd3 0.2500 0.7500 0.2500  4 Br 3.18, 4 V 3.18
Cd4 0.2500 0.7500 0.7500  4 Br 3.18, 4 V 3.18
Cd5 0.7500 0.2500 0.2500  4 Br 3.18, 4 V 3.18
Cd6 0.7500 0.2500 0.7500  4 Br 3.18, 4 V 3.18
Cd7 0.7500 0.7500 0.2500  4 Br 3.18, 4 V 3.18
Cd8 0.7500 0.7500 0.7500  4 V 3.18, 4 Br 3.18
Br1 0.0000 0.0000 0.5000  8 Cd 3.18
Br2 0.0000 0.5000 0.0000  8 Cd 3.18
Br3 0.5000 0.0000 0.0000  8 Cd 3.18
Br4 0.5000 0.5000 0.5000  8 Cd 3.18



Entry 3:
First-principles (PBE) data for VCdBr3 after structural relaxation, as listed in Alexandria.

Magnetic moment, μB per formula unit: 2.28
Raw total energy, eV/cell: -17.2
E_form (uncorrected), eV per atom: -0.422
E above lowest polymorph, meV per atom: 0
Crystal system: cubic

Cell lengths 5.1834, 5.1834, 5.1834 Å; angles 90.00, 90.00, 90.00 degrees
Last column: nearest neighbours and their distance in Å.
Fractional positions:
V1 0.0000 0.0000 0.0000  6 Br 2.59
Cd1 0.5000 0.5000 0.5000  12 Br 3.67
Br1 0.0000 0.0000 0.5000  2 V 2.59
Br2 0.0000 0.5000 0.0000  2 V 2.59
Br3 0.5000 0.0000 0.0000  2 V 2.59